BaCaCeFeO6 (PBE+U, relaxed); crystal system = cubic; SG = F-43m (216); final energy = -6.9470 eV/atom
1.0
0.0000 4.1666 4.1666
4.1666 0.0000 4.1666
4.1666 4.1666 0.0000
Ba Ca Ce Fe O
1 1 1 1 6
Direct
0.0000 0.0000 0.0000 Ba
0.5000 0.5000 0.5000 Ca
0.2500 0.2500 0.2500 Ce
0.7500 0.7500 0.7500 Fe
0.5130 0.5130 0.9870 O
0.5130 0.9870 0.5130 O
0.5130 0.9870 0.9870 O
0.9870 0.5130 0.5130 O
0.9870 0.5130 0.9870 O
0.9870 0.9870 0.5130 O